No. 1
Here is a geometry-optimized AgSb2PbAu structure from Alexandria. Energies are from PBEsol.

Unit cell a=5.2873 b=5.2873 c=5.4946 alpha=90.00 beta=90.00 gamma=90.00
Space group P4/mmm (No. 123)
Asymmetric unit:
Ag: 0.0000 0.0000 0.0000
Sb: 0.0000 0.5000 0.5000
Pb: 0.5000 0.5000 0.0000
Au: 0.5000 0.5000 0.5000

## Properties
- Energy relative to the elements, uncorrected: 0.650 eV per atom
- Energy: -3.420 eV/atom
- Magnetization: 0.000 μB per atom
- Crystal system: tetragonal


No. 2
Here is a geometry-optimized Cu3Si structure from Alexandria. Energies are from PBEsol.

Unit cell a=3.9674 b=3.9674 c=7.2091 alpha=90.00 beta=90.00 gamma=120.00
Space group P6_3/mmc (No. 194)
Asymmetric unit:
Cu: 0.0000 0.0000 0.2500
Cu: 0.3333 0.6667 0.0798
Si: 0.3333 0.6667 0.7500

## Properties
- Energy relative to the elements, uncorrected: -0.047 eV per atom
- Energy: -4.734 eV/atom
- Magnetization: 0.000 μB per atom
- Crystal system: hexagonal


No. 3
Here is a geometry-optimized La3YI structure from Alexandria. Energies are from PBEsol.

Unit cell a=5.7919 b=5.7919 c=5.7919 alpha=90.00 beta=90.00 gamma=90.00
Space group Pm-3m (No. 221)
Asymmetric unit:
La: 0.0000 0.0000 0.5000
Y: 0.0000 0.0000 0.0000
I: 0.5000 0.5000 0.5000

## Properties
- Energy relative to the elements, uncorrected: 0.442 eV per atom
- Energy: -4.484 eV/atom
- Magnetization: 0.001 μB per atom
- Crystal system: cubic


> What is the formula in the third record?

La3YI


> Look up the magnetization of the first one.

0.000 μB per atom